Computed, not measured: an optimized crystal structure of TiGe3Pb at the PBE level of DFT.

```
data_TiGe3Pb
_space_group_name_H-M_alt 'P m -3 m'
_space_group_IT_number 221
_space_group_name_Hall '-P 4 2 3'
_cell_length_a 4.9696
_cell_length_b 4.9696
_cell_length_c 4.9696
_cell_angle_alpha 90.00
_cell_angle_beta 90.00
_cell_angle_gamma 90.00
loop_
_atom_site_label
_atom_site_fract_x
_atom_site_fract_y
_atom_site_fract_z
_atom_site_occupancy
Ti1 0.0000 0.0000 0.0000 1
Ge1 0.0000 0.0000 0.5000 1
Pb1 0.5000 0.5000 0.5000 1
```

Properties
ΔH_f (0 K) = 0.20 eV/atom



Computed, not measured: an optimized crystal structure of NbGeRhO6 at the PBE level of DFT.

```
data_NbGeRhO6
_space_group_name_H-M_alt 'P -3 1 c'
_space_group_IT_number 163
_space_group_name_Hall '-P 3 2c'
_cell_length_a 5.1146
_cell_length_b 5.1146
_cell_length_c 8.6495
_cell_angle_alpha 90.00
_cell_angle_beta 90.00
_cell_angle_gamma 120.00
loop_
_atom_site_label
_atom_site_fract_x
_atom_site_fract_y
_atom_site_fract_z
_atom_site_occupancy
Nb1 0.3333 0.6667 0.2500 1
Ge1 0.3333 0.6667 0.7500 1
Rh1 0.0000 0.0000 0.0000 1
O1 0.0133 0.3514 0.6300 1
```

Properties
calculated total energy = -7.323 eV/atom



Computed, not measured: an optimized crystal structure of Tc5W at the PBE level of DFT.

```
data_Tc5W
_space_group_name_H-M_alt 'P 6/m m m'
_space_group_IT_number 191
_space_group_name_Hall '-P 6 2'
_cell_length_a 5.0042
_cell_length_b 5.0042
_cell_length_c 4.4445
_cell_angle_alpha 90.00
_cell_angle_beta 90.00
_cell_angle_gamma 120.00
loop_
_atom_site_label
_atom_site_fract_x
_atom_site_fract_y
_atom_site_fract_z
_atom_site_occupancy
Tc1 0.0000 0.5000 0.0000 1
Tc2 0.3333 0.6667 0.5000 1
W1 0.0000 0.0000 0.5000 1
```

Properties
ΔH_f (0 K) = 0.53 eV/atom